## EuHo3Co (PBE)

Data for a relaxed EuHo3Co crystal.

The value obtained for the formation energy from the elements is -0.07 eV/atom.

It has space group Pm-3m (No. 221), with a = 5.313 Å, b = 5.313 Å, c = 5.313 Å, α = 90.00°, β = 90.00° and γ = 90.00°. The inequivalent atoms are Eu at (0.000, 0.000, 0.000), Ho at (0.000, 0.500, 0.500) and Co at (0.500, 0.500, 0.500).



## Eu2Ho4Co (PBE)

Data for a relaxed Eu2Ho4Co crystal.

The value obtained for the formation energy from the elements is 0.13 eV/atom.

It has space group I4/mmm (No. 139), with a = 5.233 Å, b = 5.233 Å, c = 17.677 Å, α = 90.00°, β = 90.00° and γ = 90.00°. The inequivalent atoms are Eu at (0.000, 0.000, 0.153), Ho at (0.000, 0.000, 0.355), Ho at (0.000, 0.500, 0.000) and Co at (0.000, 0.000, 0.500).



## EuHoZnCo (PBE)

Data for a relaxed EuHoZnCo crystal.

The value obtained for the formation energy from the elements is -0.05 eV/atom.

It has space group F-43m (No. 216), with a = 7.011 Å, b = 7.011 Å, c = 7.011 Å, α = 90.00°, β = 90.00° and γ = 90.00°. The inequivalent atoms are Eu at (0.000, 0.000, 0.000), Ho at (0.000, 0.000, 0.500), Zn at (0.250, 0.250, 0.750) and Co at (0.250, 0.250, 0.250).



## Eu3Co5I12 (PBE)

Data for a relaxed Eu3Co5I12 crystal.

The total energy is -4.75 eV per atom.

It has space group Ia-3d (No. 230), with a = 17.404 Å, b = 17.404 Å, c = 17.404 Å, α = 90.00°, β = 90.00° and γ = 90.00°. The inequivalent atoms are Eu at (0.000, 0.250, 0.125), Co at (0.000, 0.000, 0.000), Co at (0.000, 0.250, 0.375) and I at (0.031, 0.054, 0.647).



## EuCoI2 (PBE)

Data for a relaxed EuCoI2 crystal.

The total energy is -5.26 eV per atom.

It has space group R-3m (No. 166, hexagonal axes), with a = 4.1039 Å, b = 4.1039 Å, c = 28.0973 Å, α = 90.00°, β = 90.00° and γ = 120.00°. The inequivalent atoms are Eu at (0.0000, 0.0000, 0.0000), Co at (0.0000, 0.0000, 0.5000) and I at (0.0000, 0.0000, 0.1142).



## EuCoIr (PBE)

Data for a relaxed EuCoIr crystal.

The value obtained for the formation energy from the elements is -0.10 eV/atom.

It has space group P-6m2 (No. 187), with a = 4.0490 Å, b = 4.0490 Å, c = 4.3724 Å, α = 90.00°, β = 90.00° and γ = 120.00°. The inequivalent atoms are Eu at (0.0000, 0.0000, 0.0000), Co at (0.3333, 0.6667, 0.5000) and Ir at (0.6667, 0.3333, 0.5000).



## KEu3Co (PBE)

Data for a relaxed KEu3Co crystal.

The value obtained for the formation energy from the elements is 0.17 eV/atom.

It has space group Pm-3m (No. 221), with a = 5.743 Å, b = 5.743 Å, c = 5.743 Å, α = 90.00°, β = 90.00° and γ = 90.00°. The inequivalent atoms are K at (0.000, 0.000, 0.000), Eu at (0.000, 0.500, 0.500) and Co at (0.500, 0.500, 0.500).



## LaEuCo (PBE)

Data for a relaxed LaEuCo crystal.

The value obtained for the formation energy from the elements is 0.10 eV/atom. The distance to the lowest polymorph of the same formula is 0.0772 eV/atom.

It has space group F-43m (No. 216), with a = 6.884 Å, b = 6.884 Å, c = 6.884 Å, α = 90.00°, β = 90.00° and γ = 90.00°. The inequivalent atoms are La at (0.000, 0.000, 0.000), Eu at (0.000, 0.000, 0.500) and Co at (0.250, 0.250, 0.250).



## La2EuCo (PBE)

Data for a relaxed La2EuCo crystal.

The value obtained for the formation energy from the elements is 0.04 eV/atom. The distance to the lowest polymorph of the same formula is 0.0089 eV/atom.

It has space group R-3m (No. 166, hexagonal axes), with a = 3.9351 Å, b = 3.9351 Å, c = 32.0131 Å, α = 90.00°, β = 90.00° and γ = 120.00°. The inequivalent atoms are La at (0.0000, 0.0000, 0.1182), Eu at (0.0000, 0.0000, 0.0000) and Co at (0.0000, 0.0000, 0.5000).



## LaEuCo (PBE)

Data for a relaxed LaEuCo crystal.

The value obtained for the formation energy from the elements is 0.05 eV/atom. The distance to the lowest polymorph of the same formula is 0.0263 eV/atom.

It has space group I4mm (No. 107), with a = 3.524 Å, b = 3.524 Å, c = 13.433 Å, α = 90.00°, β = 90.00° and γ = 90.00°. The inequivalent atoms are La at (0.000, 0.000, 0.000), Eu at (0.000, 0.000, 0.751) and Co at (0.000, 0.000, 0.387).



| no. | total magnetic moment (μB/cell) |
| --- | --- |
| 1 | 7.5 |
| 2 | 30.8 |
| 3 | 25.1 |
| 4 | 191.8 |
| 5 | 29.5 |
| 6 | 8.1 |
| 7 | 21.5 |
| 8 | 28.1 |
| 9 | 23.7 |
| 10 | 13.4 |